# TeMoO2F

A relaxed TeMoO2F crystal (PBE+U, Alexandria).

Summary:
Total magnetization = 4.95 μB/f.u.
Density = 5.63 g cm⁻³
DFT total energy = -24.46 eV per cell
Volume = 81.0 Å³/cell

Cell: 4.210 4.210 4.569 Å, 90.00 90.00 90.00°
Fractional coordinates of all 5 atoms:
Te  0.000  0.000  0.000
Mo  0.500  0.500  0.500
O  0.000  0.500  0.000
O  0.500  0.000  0.000
F  0.000  0.000  0.500